Entry 1:
First-principles (PBE) data for FeCuNi2N after structural relaxation, as listed in Alexandria via LeMat-Bulk.

Unit cell a=3.7603 b=3.7603 c=3.7511 alpha=90.00 beta=90.00 gamma=90.00
Each line ends with the local moment (μB).
Element x y z (fractional)
Ni 0.0000 0.5000 0.0000  0.26
Ni 0.5000 0.0000 0.0000  0.26
Fe 0.0000 0.0000 0.5000  2.44
Cu 0.5000 0.5000 0.5000  0.07
N 0.0000 0.0000 0.0000  0.01

- crystal system = tetragonal
- formation energy without anion corrections (eV/atom) = -0.011
- DFT total energy (eV per atom) = -6.500
- magnetization (μB per formula unit) = 2.99


Entry 2:
First-principles (PBE) data for K4U3PdS8 after structural relaxation, as listed in Alexandria via LeMat-Bulk.

Unit cell a=7.9662 b=8.7241 c=7.9736 alpha=117.20 beta=119.97 gamma=90.00
Each line ends with the local moment (μB).
Element x y z (fractional)
K 0.5000 0.0000 0.0000  0.00
K 0.5000 0.0000 0.5000  0.00
K 0.0000 0.0000 0.0000  0.00
K 0.0000 0.0000 0.5000  0.00
U 0.5000 0.5000 0.0000  2.15
U 0.5000 0.5000 0.5000  2.15
U 0.0000 0.5000 0.5000  2.15
Pd 0.0000 0.5000 0.0000  -0.41
S 0.2381 0.7000 0.9617  -0.08
S 0.2391 0.7007 0.4781  -0.08
S 0.2647 0.2938 0.5294  -0.05
S 0.7235 0.7000 0.9617  -0.08
S 0.2765 0.3000 0.0383  -0.08
S 0.7353 0.7062 0.4706  -0.05
S 0.7609 0.2993 0.5219  -0.08
S 0.7619 0.3000 0.0383  -0.08

- crystal system = monoclinic
- formation energy without anion corrections (eV/atom) = -1.244
- DFT total energy (eV per atom) = -6.023
- magnetization (μB per formula unit) = 5.95


Entry 3:
First-principles (PBE) data for Ta2BeIr after structural relaxation, as listed in Alexandria via LeMat-Bulk.

Unit cell a=3.8424 b=2.8711 c=6.1952 alpha=62.58 beta=90.00 gamma=90.00
Element x y z (fractional)
Be 0.5000 0.2500 0.2500
Ir 0.5000 0.7500 0.7500
Ta 0.0000 0.9995 0.0043
Ta 0.0000 0.5005 0.4957

- formation energy (eV/atom) = -0.25
- crystal system = monoclinic
- DFT total energy (eV per atom) = -9.327
- magnetization (μB per formula unit) = 0.00


Entry 4:
First-principles (PBE) data for LiY2O2 after structural relaxation, as listed in Alexandria via LeMat-Bulk.

Unit cell a=4.0315 b=4.0315 c=6.5908 alpha=72.19 beta=72.19 gamma=90.00
Element x y z (fractional)
Y 0.3376 0.3376 0.3248
Y 0.6624 0.6624 0.6752
O 0.7500 0.2500 0.5000
O 0.2500 0.7500 0.5000
Li 0.0000 0.0000 0.0000

- crystal system = tetragonal
- formation energy without anion corrections (eV/atom) = -2.321
- DFT total energy (eV per atom) = -7.272
- magnetization (μB per formula unit) = 0.00